The following is a GGA+U calculation of a geometry-optimized Li4FeW3O12 structure, from Alexandria via LeMat-Bulk.

Unit cell a=5.1820 b=5.4784 c=7.5199 alpha=94.43 beta=90.36 gamma=90.14
Last column: nearest neighbours and their distance in Å.
Sites, in units of the cell vectors:
Li 0.9968 0.5518 0.7046  3 O 2.00-2.08
Li 0.5024 0.0840 0.2232  3 O 2.00-2.07
Li 0.0015 0.4499 0.2841  3 O 1.98-2.02
Li 0.4971 0.0971 0.6987  6 O 2.03-2.28
Fe 0.5008 0.5136 0.4994  6 O 1.99-2.11
W 0.9949 0.0000 0.9937  6 O 1.92-2.04
W 0.0050 0.9978 0.4939  6 O 1.92-2.04
W 0.4957 0.5063 0.0001  6 O 1.91-2.00
O 0.3025 0.8169 0.5643  1 W 1.93, 1 Fe 1.99, 1 Li 2.03
O 0.1185 0.9992 0.2459  2 W 1.96-2.00, 1 Li 2.05
O 0.3144 0.1877 0.9394  2 W 2.00-2.01, 1 Li 2.07
O 0.1928 0.2971 0.5572  1 W 1.93, 1 Li 2.00, 1 Fe 2.05
O 0.7982 0.3072 0.0701  2 W 2.00-2.02, 1 Li 2.02
O 0.3805 0.4852 0.2427  1 W 1.93, 1 Li 2.00, 1 Fe 2.02
O 0.6197 0.4856 0.7611  1 W 1.91, 1 Li 2.04, 1 Fe 2.08
O 0.1887 0.6810 0.9367  2 W 1.93-2.04, 1 Li 2.08
O 0.8268 0.6898 0.4521  1 W 1.93, 1 Li 1.98, 1 Fe 1.99
O 0.6814 0.8084 0.0664  2 W 1.94-2.03, 1 Li 2.07
O 0.8796 0.0005 0.7507  2 W 1.92-2.04, 1 Li 2.10
O 0.7028 0.1834 0.4446  1 W 1.92, 1 Li 2.00, 1 Fe 2.11

The total moment is 6.000 μB per formula unit. Its symmetry is P1, No. 1. For the offset from the most stable computed form, the calculation gives 0 meV/atom.